Density functional theory data (PBE+U) for a relaxed Mn2NbNi3P6O24 crystal.

Results
Calculated total energy (eV/atom): -7.0103

a = 8.6514 Å, b = 8.6514 Å, c = 8.6514 Å
α = 60.42°, β = 60.42°, γ = 60.42°
Fractional positions:
O (0.4412, 0.2434, 0.5898)
O (0.5509, 0.7559, 0.4071)
O (0.4071, 0.5509, 0.7559)
O (0.9079, 0.2595, 0.0671)
O (0.0062, 0.8172, 0.6087)
O (0.7381, 0.9411, 0.0922)
O (0.1811, 0.3857, 0.0090)
O (0.2434, 0.5898, 0.4412)
O (0.5898, 0.4412, 0.2434)
O (0.4929, 0.8936, 0.6822)
O (0.8172, 0.6087, 0.0062)
O (0.0671, 0.9079, 0.2595)
O (0.5017, 0.0999, 0.3298)
O (0.8936, 0.6822, 0.4929)
O (0.7559, 0.4071, 0.5509)
O (0.6087, 0.0062, 0.8172)
O (0.0090, 0.1811, 0.3857)
O (0.3857, 0.0090, 0.1811)
O (0.6822, 0.4929, 0.8936)
O (0.0999, 0.3298, 0.5017)
O (0.9411, 0.0922, 0.7381)
O (0.0922, 0.7381, 0.9411)
O (0.2595, 0.0671, 0.9079)
O (0.3298, 0.5017, 0.0999)
Mn (0.9955, 0.9955, 0.9955)
Mn (0.4985, 0.4985, 0.4985)
Ni (0.3565, 0.3565, 0.3565)
Ni (0.8561, 0.8561, 0.8561)
Ni (0.6418, 0.6418, 0.6418)
P (0.0455, 0.7451, 0.4609)
P (0.4609, 0.0455, 0.7451)
P (0.2545, 0.5485, 0.9511)
P (0.5485, 0.9511, 0.2545)
P (0.7451, 0.4609, 0.0455)
P (0.9511, 0.2545, 0.5485)
Nb (0.1437, 0.1437, 0.1437)